1.
A plane-wave DFT calculation with PBE was carried out for a geometry-optimized K3Ag2Hg4 structure.

The structure in POSCAR format:
```
K3Ag2Hg4
1.0
5.259 0.000 0.000
-2.629 5.935 -0.429
0.000 -3.066 9.210
Hg Ag K
4 2 3
Direct
0.278 0.556 0.931
0.722 0.444 0.069
0.905 0.809 0.584
0.095 0.191 0.416
0.344 0.689 0.674
0.656 0.311 0.326
0.640 0.280 0.681
0.000 0.000 0.000
0.360 0.720 0.319
```



2.
A plane-wave DFT calculation with PBE was carried out for a geometry-optimized KAgHg2 structure.

The structure in POSCAR format:
```
KAgHg2
1.0
-3.593 1.586 -2.930
-3.258 -0.779 3.574
0.664 4.394 1.563
Hg K Ag
2 1 1
Direct
0.500 0.500 0.000
0.000 0.000 0.000
0.500 0.000 0.500
0.000 0.500 0.500
```



3.
A plane-wave DFT calculation with PBE was carried out for a geometry-optimized K4AgHg4 structure.

The structure in POSCAR format:
```
K4AgHg4
1.0
-2.566 2.521 6.165
0.019 -8.795 -0.528
5.390 -3.096 3.509
K Ag Hg
4 1 4
Direct
0.585 0.706 0.879
0.121 0.706 0.415
0.879 0.294 0.121
0.415 0.294 0.585
0.000 0.000 0.000
0.348 0.205 0.143
0.857 0.205 0.652
0.143 0.795 0.857
0.652 0.795 0.348
```



Number 1: calculated total energy -1.289 eV per atom, formation enthalpy at 0 K -0.1553 eV/atom, calculated volume 31.2 Å³/atom. Number 2: calculated total energy -1.156 eV per atom, formation enthalpy at 0 K -0.0177 eV/atom, calculated volume 28.3 Å³/atom. Number 3: calculated total energy -1.083 eV per atom, formation enthalpy at 0 K -0.1448 eV/atom, calculated volume 40.9 Å³/atom.